Record 1
# Ir2OsW2 (PBE, relaxed)
data_Ir2OsW2
_chemical_formula_sum 'Ir2 Os1 W2'
_space_group_name_H-M_alt 'P 1'
_space_group_IT_number 1
_cell_length_a 6.371
_cell_length_b 6.371
_cell_length_c 6.371
_cell_angle_alpha 144.80
_cell_angle_beta 144.80
_cell_angle_gamma 50.63
loop_
_space_group_symop_operation_xyz
'x,y,z'
loop_
_atom_site_label
_atom_site_type_symbol
_atom_site_fract_x
_atom_site_fract_y
_atom_site_fract_z
_atom_site_occupancy
Ir1 Ir 0.396 0.396 0.000 1
Ir2 Ir 0.604 0.604 0.000 1
Os1 Os 0.000 0.000 0.000 1
W1 W 0.750 0.250 0.500 1
W2 W 0.250 0.750 0.500 1
# **Final energy**: -10.25 eV per atom
# **Offset from the most stable computed form**: 0.11 eV per formula unit
# **Formation enthalpy at 0 K**: 0.7171 eV per atom
# **Symmetry**: I4/mmm (139)

Record 2
# SrHgAsO (PBE, relaxed)
data_SrHgAsO
_chemical_formula_sum 'Sr2 Hg2 As2 O2'
_space_group_name_H-M_alt 'P 1'
_space_group_IT_number 1
_cell_length_a 6.195
_cell_length_b 6.195
_cell_length_c 5.007
_cell_angle_alpha 90.00
_cell_angle_beta 90.00
_cell_angle_gamma 90.00
loop_
_space_group_symop_operation_xyz
'x,y,z'
loop_
_atom_site_label
_atom_site_type_symbol
_atom_site_fract_x
_atom_site_fract_y
_atom_site_fract_z
_atom_site_occupancy
As1 As 0.750 0.750 0.498 1
As2 As 0.250 0.250 0.502 1
Hg1 Hg 0.250 0.250 0.002 1
Hg2 Hg 0.750 0.750 0.998 1
O1 O 0.750 0.250 0.000 1
O2 O 0.250 0.750 0.000 1
Sr1 Sr 0.750 0.250 0.500 1
Sr2 Sr 0.250 0.750 0.500 1
# **Final energy**: -3.44 eV per atom
# **Offset from the most stable computed form**: 1.80 eV per formula unit
# **Symmetry**: P4/nmm (129)

Record 3
# ErUBe (PBE, relaxed)
data_ErUBe
_chemical_formula_sum 'Er1 U1 Be1'
_space_group_name_H-M_alt 'P 1'
_space_group_IT_number 1
_cell_length_a 4.527
_cell_length_b 4.527
_cell_length_c 4.527
_cell_angle_alpha 60.00
_cell_angle_beta 60.00
_cell_angle_gamma 60.00
loop_
_space_group_symop_operation_xyz
'x,y,z'
loop_
_atom_site_label
_atom_site_type_symbol
_atom_site_fract_x
_atom_site_fract_y
_atom_site_fract_z
_atom_site_occupancy
Be1 Be 0.000 0.000 0.000 1
Er1 Er 0.250 0.250 0.250 1
U1 U 0.750 0.750 0.750 1
# **Final energy**: -5.76 eV per atom
# **Offset from the most stable computed form**: 0.00 eV per formula unit
# **Symmetry**: F-43m (216)

Record 4
# MgBeZnNi (PBE, relaxed)
data_MgBeZnNi
_chemical_formula_sum 'Mg1 Be1 Zn1 Ni1'
_space_group_name_H-M_alt 'P 1'
_space_group_IT_number 1
_cell_length_a 4.143
_cell_length_b 4.143
_cell_length_c 4.143
_cell_angle_alpha 60.00
_cell_angle_beta 60.00
_cell_angle_gamma 60.00
loop_
_space_group_symop_operation_xyz
'x,y,z'
loop_
_atom_site_label
_atom_site_type_symbol
_atom_site_fract_x
_atom_site_fract_y
_atom_site_fract_z
_atom_site_occupancy
Be1 Be 0.250 0.250 0.250 1
Mg1 Mg 0.500 0.500 0.500 1
Ni1 Ni 0.750 0.750 0.750 1
Zn1 Zn 0.000 0.000 0.000 1
# **Final energy**: -3.05 eV per atom
# **Offset from the most stable computed form**: 0.08 eV per formula unit
# **Symmetry**: F-43m (216)